DFT (GGA-PBE) results for a relaxed structure of Ag3Hg2.

Unit cell a=12.0951 b=12.0951 c=12.0951 alpha=14.81 beta=14.81 gamma=14.81
With the nearest neighbours (Å) after each atom.
Element x y z (fractional)
Hg 0.4011 0.4011 0.4011  6 Ag 3.02-3.03, 6 Hg 3.12
Hg 0.5989 0.5989 0.5989  6 Ag 3.02-3.03, 6 Hg 3.12
Ag 0.0000 0.0000 0.0000  6 Hg 3.03, 6 Ag 3.12
Ag 0.1981 0.1981 0.1981  9 Ag 2.89-3.12, 3 Hg 3.02
Ag 0.8019 0.8019 0.8019  9 Ag 2.89-3.12, 3 Hg 3.02

**E_form**: 6.62 kJ/mol of atoms